The following is a PBE calculation of an optimized crystal structure of CsRbPtF6, from Alexandria.

a b c (Å): 6.9116 6.9116 9.3198
angles (deg): 90.00 90.00 120.00
Space group P-31c (No. 163)
Inequivalent atoms, fractional coordinates:
Cs 0.0000 0.0000 0.0000 x2
Rb 0.3333 0.6667 0.2500 x2
Pt 0.3333 0.6667 0.7500 x2
F 0.0944 0.4284 0.6328 x12

Uncorrected formation energy = -2.141 eV per atom



The following is a PBE calculation of an optimized crystal structure of MgGaReW, from Alexandria.

a b c (Å): 6.273 6.273 6.273
angles (deg): 90.00 90.00 90.00
Space group F-43m (No. 216)
Inequivalent atoms, fractional coordinates:
Mg 0.000 0.000 0.000 x4
Ga 0.250 0.250 0.250 x4
Re 0.000 0.000 0.500 x4
W 0.250 0.250 0.750 x4

Formation energy from the elements = 0.09 eV per atom